# 1
Material: Pr2InPd3Au12
Method: DFT, GGA-PBE
State: relaxed Values from VASP.

Values from the calculation:
As for the symmetry: R-3m, No. 166. Its mass density is 11.7 g/cm³. The value obtained for the electronic total energy is -3.71 eV per atom.

```
&SYSTEM
  ibrav = 0, nat = 18, ntyp = 4
/
ATOMIC_SPECIES
Au 196.97 Au.upf
Pd 106.42 Pd.upf
Pr 140.91 Pr.upf
In 114.82 In.upf
CELL_PARAMETERS angstrom
-6.899 4.074 1.313
-5.431 -1.007 -5.950
-6.155 -4.842 2.143
ATOMIC_POSITIONS crystal
Au 0.851 0.851 0.379
Au 0.634 0.634 0.130
Au 0.149 0.621 0.149
Au 0.851 0.379 0.851
Au 0.621 0.149 0.149
Au 0.634 0.130 0.634
Au 0.366 0.870 0.366
Au 0.366 0.366 0.870
Au 0.149 0.149 0.621
Au 0.130 0.634 0.634
Au 0.870 0.366 0.366
Au 0.379 0.851 0.851
Pd 0.500 0.000 0.000
Pd 0.000 0.500 0.000
Pd 0.000 0.000 0.500
Pr 0.393 0.393 0.393
Pr 0.607 0.607 0.607
In 0.000 0.000 0.000
```

---

# 2
Material: RbIn3Bi2
Method: DFT, GGA-PBE
State: relaxed Values from VASP.

Values from the calculation:
As for the symmetry: C2/m, No. 12. Its mass density is 6.7 g/cm³. Its distance to the lowest polymorph of the same formula is 0.00 kJ/mol of atoms.

```
&SYSTEM
  ibrav = 0, nat = 12, ntyp = 3
/
ATOMIC_SPECIES
In 114.82 In.upf
Rb 85.47 Rb.upf
Bi 208.98 Bi.upf
CELL_PARAMETERS angstrom
5.120 0.000 1.410
0.952 7.526 6.545
-0.447 1.000 11.626
ATOMIC_POSITIONS crystal
In 0.062 0.524 0.351
In 0.375 0.750 0.499
In 0.938 0.476 0.649
In 0.310 0.483 0.897
In 0.690 0.517 0.103
In 0.625 0.250 0.501
Rb 0.884 0.073 0.160
Rb 0.116 0.927 0.840
Bi 0.767 0.733 0.733
Bi 0.475 0.234 0.816
Bi 0.525 0.766 0.184
Bi 0.233 0.267 0.267
```

---

# 3
Material: Na2CeO3
Method: DFT, GGA-PBE
State: relaxed Values from VASP.

Values from the calculation:
As for the symmetry: C2/c, No. 15. Its mass density is 4.4 g/cm³. For the uncorrected formation energy, the calculation gives -2484.6 meV/atom.

```
&SYSTEM
  ibrav = 0, nat = 24, ntyp = 3
/
ATOMIC_SPECIES
Na 22.99 Na.upf
O 16.00 O.upf
Ce 140.12 Ce.upf
CELL_PARAMETERS angstrom
-4.710 2.681 -2.711
2.923 -4.533 -2.762
-7.497 -7.953 2.847
ATOMIC_POSITIONS crystal
Na 0.341 0.184 0.000
Na 0.659 0.816 0.000
Na 0.415 0.585 0.750
Na 0.500 0.000 0.500
Na 0.585 0.415 0.250
Na 0.000 0.500 0.000
Na 0.816 0.659 0.500
Na 0.184 0.341 0.500
O 0.546 0.742 0.361
O 0.258 0.454 0.139
O 0.818 0.986 0.643
O 0.742 0.546 0.861
O 0.622 0.086 0.143
O 0.014 0.182 0.857
O 0.454 0.258 0.639
O 0.378 0.914 0.857
O 0.914 0.378 0.357
O 0.086 0.622 0.643
O 0.986 0.818 0.143
O 0.182 0.014 0.357
Ce 0.082 0.918 0.750
Ce 0.918 0.082 0.250
Ce 0.251 0.749 0.250
Ce 0.749 0.251 0.750
```

---

# 4
Material: Dy3HoMg12
Method: DFT, GGA-PBE
State: relaxed Values from VASP.

Values from the calculation:
As for the symmetry: P4/mmm, No. 123. Its mass density is 3.9 g/cm³. The value obtained for the electronic total energy is -2.40 eV per atom.

```
&SYSTEM
  ibrav = 0, nat = 16, ntyp = 3
/
ATOMIC_SPECIES
Mg 24.30 Mg.upf
Dy 162.50 Dy.upf
Ho 164.93 Ho.upf
CELL_PARAMETERS angstrom
4.623 0.000 0.000
0.000 4.623 0.000
0.000 0.000 18.981
ATOMIC_POSITIONS crystal
Mg 0.500 0.000 0.125
Mg 0.500 0.500 0.500
Mg 0.500 0.000 0.375
Mg 0.500 0.000 0.625
Mg 0.500 0.500 0.000
Mg 0.500 0.000 0.875
Mg 0.000 0.500 0.125
Mg 0.000 0.500 0.375
Mg 0.000 0.500 0.625
Mg 0.000 0.500 0.875
Mg 0.500 0.500 0.751
Mg 0.500 0.500 0.249
Dy 0.000 0.000 0.750
Dy 0.000 0.000 0.500
Dy 0.000 0.000 0.250
Ho 0.000 0.000 0.000
```

---

# 5
Material: Ho2CuS3
Method: DFT, GGA-PBE
State: relaxed Values from VASP.

Values from the calculation:
As for the symmetry: Immm, No. 71. Its mass density is 6.9 g/cm³. For the uncorrected formation energy, the calculation gives -1508.5 meV/atom.

```
&SYSTEM
  ibrav = 0, nat = 6, ntyp = 3
/
ATOMIC_SPECIES
S 32.06 S.upf
Ho 164.93 Ho.upf
Cu 63.55 Cu.upf
CELL_PARAMETERS angstrom
3.640 0.000 0.000
0.000 4.234 0.000
-1.820 -2.117 7.668
ATOMIC_POSITIONS crystal
S 0.178 0.178 0.356
S 0.822 0.822 0.644
S 0.000 0.500 0.000
Ho 0.640 0.640 0.281
Ho 0.360 0.360 0.719
Cu 0.000 0.000 0.000
```

---

# 6
Material: Pu3Ga9Pd2
Method: DFT, GGA-PBE
State: relaxed Values from VASP.

Values from the calculation:
As for the symmetry: Immm, No. 71. Its mass density is 10.0 g/cm³. The value obtained for the electronic total energy is -6.23 eV per atom.

```
&SYSTEM
  ibrav = 0, nat = 14, ntyp = 3
/
ATOMIC_SPECIES
Ga 69.72 Ga.upf
Pd 106.42 Pd.upf
Pu 244.00 Pu.upf
CELL_PARAMETERS angstrom
4.218 0.000 1.133
1.575 7.636 2.556
0.059 0.275 8.200
ATOMIC_POSITIONS crystal
Ga 0.140 0.143 0.577
Ga 0.860 0.423 0.857
Ga 0.653 0.983 0.711
Ga 0.000 0.500 0.500
Ga 0.140 0.577 0.143
Ga 0.653 0.711 0.983
Ga 0.347 0.017 0.289
Ga 0.860 0.857 0.423
Ga 0.347 0.289 0.017
Pd 0.500 0.323 0.677
Pd 0.500 0.677 0.323
Pu 0.293 0.707 0.707
Pu 0.707 0.293 0.293
Pu 0.000 0.000 0.000
```

---

# 7
Material: TbDy2Ho6Sc
Method: DFT, GGA-PBE
State: relaxed Values from VASP.

Values from the calculation:
As for the symmetry: C2/c, No. 15. Its mass density is 8.2 g/cm³. The value obtained for the electronic total energy is -4.64 eV per atom.

```
&SYSTEM
  ibrav = 0, nat = 20, ntyp = 4
/
ATOMIC_SPECIES
Sc 44.96 Sc.upf
Ho 164.93 Ho.upf
Dy 162.50 Dy.upf
Tb 158.93 Tb.upf
CELL_PARAMETERS angstrom
8.967 -1.961 -2.035
0.768 8.383 -1.934
0.768 -2.243 8.306
ATOMIC_POSITIONS crystal
Sc 0.250 0.412 0.588
Sc 0.750 0.588 0.412
Ho 0.117 0.707 0.494
Ho 0.383 0.506 0.293
Ho 0.883 0.293 0.506
Ho 0.444 0.249 0.874
Ho 0.189 0.566 0.008
Ho 0.056 0.126 0.751
Ho 0.617 0.494 0.707
Ho 0.944 0.874 0.249
Ho 0.811 0.434 0.992
Ho 0.311 0.992 0.434
Ho 0.689 0.008 0.566
Ho 0.556 0.751 0.126
Dy 0.453 0.799 0.697
Dy 0.953 0.697 0.799
Dy 0.547 0.201 0.303
Dy 0.047 0.303 0.201
Tb 0.250 0.978 0.022
Tb 0.750 0.022 0.978
```